#P
The following is a PBE-GGA calculation of an optimized crystal structure of Te2RuRh, from the Alexandria database.

Unit cell a=3.8645 b=5.0448 c=4.5149 alpha=90.00 beta=103.54 gamma=90.00
Space group Pm (No. 6)
Symmetry-distinct sites (fractional):
Te: 0.0000 0.0000 0.0000 [1 per cell]
Te: 0.4648 0.5000 0.5357 [1 per cell]
Ru: 0.8494 0.5000 0.1419 [1 per cell]
Rh: 0.6189 0.0000 0.3992 [1 per cell]

=====

#Q
The following is a PBE-GGA calculation of an optimized crystal structure of Te2RuRh, from the Alexandria database.

Unit cell a=3.5816 b=3.5816 c=25.0411 alpha=90.00 beta=90.00 gamma=120.00
Space group R-3m (No. 166, hexagonal axes)
Symmetry-distinct sites (fractional):
Te: 0.0000 0.0000 0.1009 [6 per cell]
Ru: 0.0000 0.0000 0.5000 [3 per cell]
Rh: 0.0000 0.0000 0.0000 [3 per cell]

=====

What is the least stable structure shown above? It is #Q.